Record 1
# PBE-GGA SbPb3Se, relaxed
data_SbPb3Se
_chemical_formula_sum 'Sb1 Pb3 Se1'
_space_group_name_H-M_alt 'P m -3 m'
_space_group_IT_number 221
_space_group_name_Hall '-P 4 2 3'
_cell_length_a 5.680
_cell_length_b 5.680
_cell_length_c 5.680
_cell_angle_alpha 90.00
_cell_angle_beta 90.00
_cell_angle_gamma 90.00
loop_
_atom_site_label
_atom_site_type_symbol
_atom_site_fract_x
_atom_site_fract_y
_atom_site_fract_z
Sb1 Sb 0.000 0.000 0.000
Pb1 Pb 0.000 0.500 0.500
Se1 Se 0.500 0.500 0.500
# offset from the most stable computed form	349	meV per atom

Record 2
A geometry-optimized SbPbSe4 structure. Source: the Alexandria database, functional PBE-GGA.

The structure in CIF format:
```
data_SbPbSe4
_chemical_formula_sum 'Sb4 Pb4 Se16'
_space_group_name_H-M_alt 'F -4 3 m'
_space_group_IT_number 216
_space_group_name_Hall 'F -4 2 3'
_cell_length_a 8.323
_cell_length_b 8.323
_cell_length_c 8.323
_cell_angle_alpha 90.00
_cell_angle_beta 90.00
_cell_angle_gamma 90.00
loop_
_atom_site_label
_atom_site_type_symbol
_atom_site_fract_x
_atom_site_fract_y
_atom_site_fract_z
Sb1 Sb 0.000 0.000 0.000
Pb1 Pb 0.250 0.250 0.250
Se1 Se 0.125 0.125 0.625
```

Record 3
A geometry-optimized SbPb2Se4 structure. Source: the Alexandria database, functional PBE-GGA.

The structure in CIF format:
```
data_SbPb2Se4
_chemical_formula_sum 'Sb2 Pb4 Se8'
_space_group_name_H-M_alt 'C 1 2/m 1'
_space_group_IT_number 12
_space_group_name_Hall '-C 2y'
_cell_length_a 15.394
_cell_length_b 4.100
_cell_length_c 7.713
_cell_angle_alpha 90.00
_cell_angle_beta 118.00
_cell_angle_gamma 90.00
loop_
_atom_site_label
_atom_site_type_symbol
_atom_site_fract_x
_atom_site_fract_y
_atom_site_fract_z
Sb1 Sb 0.000 0.000 0.000
Pb1 Pb 0.223 0.500 0.698
Se1 Se 0.113 0.000 0.411
Se2 Se 0.125 0.500 0.980
```

Record 4
# PBE-GGA Sb2Pb2Se, relaxed
data_Sb2Pb2Se
_chemical_formula_sum 'Sb4 Pb4 Se2'
_space_group_name_H-M_alt 'P 4/m b m'
_space_group_IT_number 127
_space_group_name_Hall '-P 4 2ab'
_cell_length_a 8.135
_cell_length_b 8.135
_cell_length_c 4.614
_cell_angle_alpha 90.00
_cell_angle_beta 90.00
_cell_angle_gamma 90.00
loop_
_atom_site_label
_atom_site_type_symbol
_atom_site_fract_x
_atom_site_fract_y
_atom_site_fract_z
Sb1 Sb 0.174 0.326 0.000
Pb1 Pb 0.143 0.643 0.500
Se1 Se 0.000 0.000 0.000
# offset from the most stable computed form	162	meV per atom

Record 5
# PBE-GGA Sb2PbSe2, relaxed
data_Sb2PbSe2
_chemical_formula_sum 'Sb4 Pb2 Se4'
_space_group_name_H-M_alt 'I 4/m m m'
_space_group_IT_number 139
_space_group_name_Hall '-I 4 2'
_cell_length_a 5.646
_cell_length_b 5.646
_cell_length_c 9.405
_cell_angle_alpha 90.00
_cell_angle_beta 90.00
_cell_angle_gamma 90.00
loop_
_atom_site_label
_atom_site_type_symbol
_atom_site_fract_x
_atom_site_fract_y
_atom_site_fract_z
Sb1 Sb 0.000 0.000 0.168
Pb1 Pb 0.000 0.000 0.500
Se1 Se 0.000 0.500 0.250
# offset from the most stable computed form	75	meV per atom

Record 6
# PBE-GGA Sb2Pb2Se, relaxed
data_Sb2Pb2Se
_chemical_formula_sum 'Sb4 Pb4 Se2'
_space_group_name_H-M_alt 'I 4/m m m'
_space_group_IT_number 139
_space_group_name_Hall '-I 4 2'
_cell_length_a 4.259
_cell_length_b 4.259
_cell_length_c 17.051
_cell_angle_alpha 90.00
_cell_angle_beta 90.00
_cell_angle_gamma 90.00
loop_
_atom_site_label
_atom_site_type_symbol
_atom_site_fract_x
_atom_site_fract_y
_atom_site_fract_z
Sb1 Sb 0.000 0.500 0.250
Pb1 Pb 0.000 0.000 0.095
Se1 Se 0.000 0.000 0.500
# offset from the most stable computed form	0	meV per atom

Record 7
A geometry-optimized SbPb5Se4 structure. Source: the Alexandria database, functional PBE-GGA.

The structure in CIF format:
```
data_SbPb5Se4
_chemical_formula_sum 'Sb2 Pb10 Se8'
_space_group_name_H-M_alt 'I 4'
_space_group_IT_number 79
_space_group_name_Hall 'I 4'
_cell_length_a 9.903
_cell_length_b 9.903
_cell_length_c 6.195
_cell_angle_alpha 90.00
_cell_angle_beta 90.00
_cell_angle_gamma 90.00
loop_
_atom_site_label
_atom_site_type_symbol
_atom_site_fract_x
_atom_site_fract_y
_atom_site_fract_z
Sb1 Sb 0.000 0.000 0.000
Pb1 Pb 0.000 0.000 0.500
Pb2 Pb 0.103 0.696 0.999
Se1 Se 0.105 0.703 0.499
```

Record 8
# PBE-GGA Sb2Pb2Se, relaxed
data_Sb2Pb2Se
_chemical_formula_sum 'Sb4 Pb4 Se2'
_space_group_name_H-M_alt 'P 4/m b m'
_space_group_IT_number 127
_space_group_name_Hall '-P 4 2ab'
_cell_length_a 8.280
_cell_length_b 8.280
_cell_length_c 4.857
_cell_angle_alpha 90.00
_cell_angle_beta 90.00
_cell_angle_gamma 90.00
loop_
_atom_site_label
_atom_site_type_symbol
_atom_site_fract_x
_atom_site_fract_y
_atom_site_fract_z
Sb1 Sb 0.118 0.382 0.000
Pb1 Pb 0.200 0.700 0.500
Se1 Se 0.000 0.000 0.500
# offset from the most stable computed form	149	meV per atom

Record 9
# PBE-GGA Sb2PbSe2, relaxed
data_Sb2PbSe2
_chemical_formula_sum 'Sb4 Pb2 Se4'
_space_group_name_H-M_alt 'P 4/m b m'
_space_group_IT_number 127
_space_group_name_Hall '-P 4 2ab'
_cell_length_a 9.071
_cell_length_b 9.071
_cell_length_c 3.748
_cell_angle_alpha 90.00
_cell_angle_beta 90.00
_cell_angle_gamma 90.00
loop_
_atom_site_label
_atom_site_type_symbol
_atom_site_fract_x
_atom_site_fract_y
_atom_site_fract_z
Sb1 Sb 0.217 0.283 0.000
Pb1 Pb 0.000 0.000 0.000
Se1 Se 0.137 0.637 0.500
# offset from the most stable computed form	0	meV per atom

Record 10
A geometry-optimized Sb4PbSe structure. Source: the Alexandria database, functional PBE-GGA.

The structure in CIF format:
```
data_Sb4PbSe
_chemical_formula_sum 'Sb16 Pb4 Se4'
_space_group_name_H-M_alt 'F -4 3 m'
_space_group_IT_number 216
_space_group_name_Hall 'F -4 2 3'
_cell_length_a 8.866
_cell_length_b 8.866
_cell_length_c 8.866
_cell_angle_alpha 90.00
_cell_angle_beta 90.00
_cell_angle_gamma 90.00
loop_
_atom_site_label
_atom_site_type_symbol
_atom_site_fract_x
_atom_site_fract_y
_atom_site_fract_z
Sb1 Sb 0.122 0.122 0.122
Pb1 Pb 0.000 0.000 0.500
Se1 Se 0.250 0.250 0.750
```

Record 11
# PBE-GGA SbPb3Se, relaxed
data_SbPb3Se
_chemical_formula_sum 'Sb2 Pb6 Se2'
_space_group_name_H-M_alt 'P 1 21/m 1'
_space_group_IT_number 11
_space_group_name_Hall '-P 2yb'
_cell_length_a 7.279
_cell_length_b 4.398
_cell_length_c 10.323
_cell_angle_alpha 90.00
_cell_angle_beta 101.83
_cell_angle_gamma 90.00
loop_
_atom_site_label
_atom_site_type_symbol
_atom_site_fract_x
_atom_site_fract_y
_atom_site_fract_z
Sb1 Sb 0.147 0.250 0.190
Pb1 Pb 0.047 0.750 0.374
Pb2 Pb 0.261 0.750 0.996
Pb3 Pb 0.462 0.750 0.632
Se1 Se 0.344 0.250 0.790
# offset from the most stable computed form	0	meV per atom

Record 12
A geometry-optimized SbPb3Se6 structure. Source: the Alexandria database, functional PBE-GGA.

The structure in CIF format:
```
data_SbPb3Se6
_chemical_formula_sum 'Sb4 Pb12 Se24'
_space_group_name_H-M_alt 'F m m m'
_space_group_IT_number 69
_space_group_name_Hall '-F 2 2'
_cell_length_a 9.572
_cell_length_b 11.472
_cell_length_c 11.669
_cell_angle_alpha 90.00
_cell_angle_beta 90.00
_cell_angle_gamma 90.00
loop_
_atom_site_label
_atom_site_type_symbol
_atom_site_fract_x
_atom_site_fract_y
_atom_site_fract_z
Sb1 Sb 0.000 0.000 0.000
Pb1 Pb 0.000 0.000 0.500
Pb2 Pb 0.250 0.250 0.250
Se1 Se 0.000 0.244 0.000
Se2 Se 0.224 0.000 0.144
```

Taking the records one at a time from the top gives formation energy from raw total energies values of 1.1 2.5 -2.3 0.5 0.2 -0.3 -4.0 0.5 -0.1 1.7 -0.7 -1.3 eV/f.u..